Nd2YRh | PBE | optimized geometry

Properties
The density of states at the Fermi level comes out at 15.66 states/eV/cell. For the formation energy, the calculation gives -0.356 eV per atom. The energy above the most stable polymorph in this dataset comes out at 91 meV/atom.

Lattice parameters (Å, degrees): 6.7405 6.4497 11.5882 90.00 90.00 90.00
Positions (direct):
1 Nd 0.0894 0.2450 0.0871
2 Nd 0.0894 0.2550 0.4129
3 Nd 0.4106 0.7450 0.4129
4 Nd 0.4106 0.7550 0.0871
5 Nd 0.5894 0.2450 0.9129
6 Nd 0.5894 0.2550 0.5871
7 Nd 0.9106 0.7450 0.5871
8 Nd 0.9106 0.7550 0.9129
9 Y 0.0709 0.2500 0.7500
10 Y 0.4291 0.7500 0.7500
11 Y 0.5709 0.2500 0.2500
12 Y 0.9291 0.7500 0.2500
13 Rh 0.2500 0.0000 0.5885
14 Rh 0.2500 0.5000 0.9115
15 Rh 0.7500 0.0000 0.4115
16 Rh 0.7500 0.5000 0.0885